Entry 1:
HgPd4Au3 | GGA-PBE | relaxed

The crystal system is orthorhombic. The density of states at the Fermi level comes out at 0.57 states/eV per atom. The offset from the most stable computed form comes out at 158 meV per atom. For the density, the calculation gives 14.23 g/cm³. Its raw total energy is -3.820 eV per atom. Its total magnetization is 0.00 μB per formula unit. Its formation energy is 0.0429 eV/atom.

extended XYZ file:
```
8
Lattice="-2.766 4.735 2.710 2.766 -4.735 2.710 2.766 4.735 -2.710" Properties=species:S:1:pos:R:3 pbc="T T T"
Hg 0.000 0.000 0.000
Pd 0.000 2.398 1.252
Pd 1.375 4.735 -0.074
Pd 1.391 0.000 2.636
Pd 0.000 7.073 1.252
Au 2.766 2.363 1.253
Au 0.000 4.735 2.581
Au 0.000 2.372 3.964
```

=====

Entry 2:
HgPd2Au6 | GGA-PBE | relaxed

The crystal system is monoclinic. The density of states at the Fermi level comes out at 0.31 states/eV per atom. The offset from the most stable computed form comes out at 26 meV per atom. For the density, the calculation gives 15.99 g/cm³. Its raw total energy is -3.363 eV per atom. Its total magnetization is 0.00 μB per formula unit. Its formation energy is 0.0091 eV/atom.

extended XYZ file:
```
9
Lattice="4.872 -4.031 0.000 4.872 4.031 0.000 -2.340 0.000 4.219" Properties=species:S:1:pos:R:3 pbc="T T T"
Hg 0.000 0.000 0.000
Pd 2.446 0.000 1.393
Pd 4.958 0.000 2.826
Au 1.272 1.435 3.500
Au 3.702 2.435 2.109
Au 6.132 1.435 0.718
Au 1.272 -1.435 3.500
Au 3.702 -2.435 2.109
Au 6.132 -1.435 0.718
```

=====

Entry 3:
Hg2PdAu6 | GGA-PBE | relaxed

The crystal system is monoclinic. The density of states at the Fermi level comes out at 0.36 states/eV per atom. The offset from the most stable computed form comes out at 0 meV per atom. For the density, the calculation gives 16.32 g/cm³. Its raw total energy is -2.820 eV per atom. Its total magnetization is 0.00 μB per formula unit. Its formation energy is 0.0089 eV/atom.

extended XYZ file:
```
9
Lattice="3.309 -6.682 0.000 3.309 6.682 0.000 -1.243 0.000 3.886" Properties=species:S:1:pos:R:3 pbc="T T T"
Hg 3.309 4.562 0.000
Hg 3.309 -4.562 0.000
Pd -0.622 0.000 1.943
Au 1.391 2.086 2.575
Au 1.998 0.000 0.633
Au 1.391 -2.086 2.575
Au 3.985 2.086 1.311
Au 3.378 0.000 3.253
Au 3.985 -2.086 1.311
```

=====

Entry 4:
HgPd6Au2 | GGA-PBE | relaxed

The crystal system is monoclinic. The density of states at the Fermi level comes out at 0.88 states/eV per atom. The offset from the most stable computed form comes out at 222 meV per atom. For the density, the calculation gives 12.54 g/cm³. Its raw total energy is -4.080 eV per atom. Its total magnetization is 0.00 μB per formula unit. Its formation energy is 0.1436 eV/atom.

extended XYZ file:
```
9
Lattice="6.929 -2.719 0.000 6.929 2.719 0.000 -1.490 0.000 4.334" Properties=species:S:1:pos:R:3 pbc="T T T"
Hg 0.000 0.000 0.000
Pd 3.700 1.353 1.293
Pd 6.184 1.297 2.167
Pd 8.668 1.353 3.041
Pd 3.700 -1.353 1.293
Pd 6.184 -1.297 2.167
Pd 8.668 -1.353 3.041
Au 4.088 0.000 3.858
Au 8.280 0.000 0.476
```

=====

Entry 5:
HgPd2Au2 | GGA-PBE | relaxed

The crystal system is tetragonal. The density of states at the Fermi level comes out at 0.47 states/eV per atom. The offset from the most stable computed form comes out at 93 meV per atom. For the density, the calculation gives 14.42 g/cm³. Its raw total energy is -3.412 eV per atom. Its total magnetization is 0.00 μB per formula unit. Its formation energy is 0.0364 eV/atom.

extended XYZ file:
```
10
Lattice="7.690 0.000 0.000 0.000 7.690 0.000 0.000 0.000 3.145" Properties=species:S:1:pos:R:3 pbc="T T T"
Hg 0.000 0.000 0.000
Hg 3.845 3.845 0.000
Pd 1.222 2.623 1.573
Pd 2.623 6.468 1.573
Pd 5.067 1.222 1.573
Pd 6.468 5.067 1.573
Au 1.057 4.902 0.000
Au 2.788 1.057 0.000
Au 4.902 6.633 0.000
Au 6.633 2.788 0.000
```

=====

Entry 6:
HgPd4Au4 | GGA-PBE | relaxed

The crystal system is tetragonal. The density of states at the Fermi level comes out at 0.42 states/eV per atom. The offset from the most stable computed form comes out at 0 meV per atom. For the density, the calculation gives 15.27 g/cm³. Its raw total energy is -3.891 eV per atom. Its total magnetization is 0.00 μB per formula unit. Its formation energy is -0.0927 eV/atom.

extended XYZ file:
```
9
Lattice="-4.387 4.387 1.998 4.387 -4.387 1.998 4.387 4.387 -1.998" Properties=species:S:1:pos:R:3 pbc="T T T"
Hg 0.000 0.000 0.000
Pd 2.914 2.914 0.000
Pd 1.473 -1.473 1.998
Pd -1.473 1.473 1.998
Pd 1.473 1.473 1.998
Au 2.909 0.000 0.000
Au 5.864 0.000 0.000
Au 0.000 2.909 0.000
Au 0.000 5.864 0.000
```

=====

Entry 7:
HgPd2Au3 | GGA-PBE | relaxed

The crystal system is monoclinic. The density of states at the Fermi level comes out at 0.51 states/eV per atom. The offset from the most stable computed form comes out at 0 meV per atom. For the density, the calculation gives 13.25 g/cm³. Its raw total energy is -3.406 eV per atom. Its total magnetization is 0.00 μB per formula unit. Its formation energy is 0.0143 eV/atom.

extended XYZ file:
```
6
Lattice="4.803 -2.868 0.000 4.803 2.868 0.000 -1.171 0.000 4.569" Properties=species:S:1:pos:R:3 pbc="T T T"
Hg 0.000 0.000 0.000
Pd 2.401 1.434 0.000
Pd 2.401 -1.434 0.000
Au 1.905 0.000 2.302
Au 4.803 0.000 0.000
Au 6.530 0.000 2.268
```

=====

Entry 8:
HgPd2Au2 | GGA-PBE | relaxed

The crystal system is orthorhombic. The density of states at the Fermi level comes out at 0.29 states/eV per atom. The offset from the most stable computed form comes out at 0 meV per atom. For the density, the calculation gives 15.07 g/cm³. Its raw total energy is -3.506 eV per atom. Its total magnetization is 0.00 μB per formula unit. Its formation energy is -0.0571 eV/atom.

extended XYZ file:
```
10
Lattice="2.261 -6.990 0.000 2.261 6.990 0.000 0.000 0.000 5.629" Properties=species:S:1:pos:R:3 pbc="T T T"
Hg 2.261 5.477 2.815
Hg 2.261 -5.477 0.000
Pd 2.261 5.569 5.625
Pd 2.261 2.770 1.287
Pd 2.261 -2.770 4.102
Pd 2.261 -5.569 2.810
Au 2.261 2.721 4.057
Au 2.261 0.043 1.506
Au 2.261 -0.043 4.321
Au 2.261 -2.721 1.242
```

=====

Entry 9:
Hg4Pd15Au | GGA-PBE | relaxed

The crystal system is tetragonal. The density of states at the Fermi level comes out at 1.28 states/eV per atom. For the density, the calculation gives 12.99 g/cm³. Its raw total energy is -4.217 eV per atom. Its total magnetization is 0.00 μB per formula unit. Its formation energy is -0.0977 eV/atom.

extended XYZ file:
```
20
Lattice="4.044 0.000 0.000 0.000 4.044 0.000 0.000 0.000 20.287" Properties=species:S:1:pos:R:3 pbc="T T T"
Hg 0.000 0.000 2.041
Hg 0.000 0.000 6.120
Hg 0.000 0.000 14.167
Hg 0.000 0.000 18.246
Pd 0.000 2.022 0.000
Pd 0.000 2.022 4.083
Pd 0.000 2.022 8.159
Pd 0.000 2.022 12.127
Pd 0.000 2.022 16.203
Pd 2.022 0.000 0.000
Pd 2.022 0.000 4.083
Pd 2.022 0.000 8.159
Pd 2.022 0.000 12.127
Pd 2.022 0.000 16.203
Pd 2.022 2.022 2.045
Pd 2.022 2.022 6.132
Pd 2.022 2.022 10.143
Pd 2.022 2.022 14.155
Pd 2.022 2.022 18.242
Au 0.000 0.000 10.143
```

=====

Entry 10:
HgPd5Au2 | GGA-PBE | relaxed

The crystal system is orthorhombic. The density of states at the Fermi level comes out at 0.95 states/eV per atom. The offset from the most stable computed form comes out at 167 meV per atom. For the density, the calculation gives 13.23 g/cm³. Its raw total energy is -4.022 eV per atom. Its total magnetization is 0.00 μB per formula unit. Its formation energy is 0.0802 eV/atom.

extended XYZ file:
```
16
Lattice="2.320 -5.973 0.000 2.320 5.973 0.000 0.000 0.000 10.210" Properties=species:S:1:pos:R:3 pbc="T T T"
Hg 2.320 3.113 7.657
Hg 2.320 -3.113 2.552
Pd 2.320 5.546 6.318
Pd 2.320 5.546 8.997
Pd 2.320 1.157 2.552
Pd 2.320 1.039 5.887
Pd 2.320 1.039 9.428
Pd 2.320 -1.039 0.782
Pd 2.320 -1.039 4.323
Pd 2.320 -1.157 7.657
Pd 2.320 -5.546 1.213
Pd 2.320 -5.546 3.892
Au 2.320 3.427 0.763
Au 2.320 3.427 4.342
Au 2.320 -3.427 5.868
Au 2.320 -3.427 9.447
```

=====

Entry 11:
Hg2Pd7Au | GGA-PBE | relaxed

The crystal system is orthorhombic. The density of states at the Fermi level comes out at 1.09 states/eV per atom. For the density, the calculation gives 11.49 g/cm³. Its raw total energy is -3.830 eV per atom. Its total magnetization is 0.00 μB per formula unit. Its formation energy is 0.1929 eV/atom.

extended XYZ file:
```
10
Lattice="4.287 -8.119 0.000 4.287 8.119 0.000 0.000 0.000 2.788" Properties=species:S:1:pos:R:3 pbc="T T T"
Hg 4.287 5.193 0.000
Hg 4.287 -5.193 0.000
Pd 0.000 0.000 0.000
Pd 2.303 1.435 0.000
Pd 4.287 2.800 1.394
Pd 2.303 -1.435 0.000
Pd 6.271 1.435 0.000
Pd 4.287 -2.800 1.394
Pd 6.271 -1.435 0.000
Au 4.287 0.000 1.394
```